# 1
First-principles (GGA-PBE) data for an optimized crystal structure of KPtCl, as listed in Alexandria via LeMat-Bulk.

Cell: 9.022 4.421 9.155 Å, 90.00 90.00 90.00°
Positions (direct):
1 Pt 0.016 0.750 0.761
2 Pt 0.484 0.250 0.261
3 Pt 0.516 0.750 0.739
4 Pt 0.984 0.250 0.239
5 Cl 0.538 0.250 0.797
6 Cl 0.462 0.750 0.203
7 Cl 0.962 0.750 0.297
8 Cl 0.038 0.250 0.703
9 K 0.242 0.250 0.984
10 K 0.742 0.250 0.516
11 K 0.258 0.750 0.484
12 K 0.758 0.750 0.016

Calculated values
The value obtained for the energy above the most stable polymorph in this dataset is 341 meV/atom. The value obtained for the formation energy (no corrections) is -0.47 eV/atom. Its density of states at the Fermi level is 0.00 states/eV per atom. For the total magnetization, the calculation gives 0.000 μB/atom. For the total energy, the calculation gives -41.560 eV/cell. Its space-group type is Pnma, No. 62.

---

# 2
First-principles (GGA-PBE) data for an optimized crystal structure of KPtCl, as listed in Alexandria via LeMat-Bulk.

Cell: 3.760 6.961 6.961 Å, 101.74 90.00 90.00°
Positions (direct):
1 Pt 0.750 0.017 0.180
2 Pt 0.250 0.820 0.983
3 K 0.250 0.894 0.534
4 K 0.750 0.466 0.106
5 Cl 0.750 0.659 0.760
6 Cl 0.250 0.240 0.341

Calculated values
The value obtained for the energy above the most stable polymorph in this dataset is 103 meV/atom. The value obtained for the formation energy (no corrections) is -0.71 eV/atom. Its density of states at the Fermi level is 0.00 states/eV per atom. For the total magnetization, the calculation gives 0.000 μB/atom. For the total energy, the calculation gives -22.213 eV/cell. Its space-group type is Ama2, No. 40.

---

# 3
First-principles (GGA-PBE) data for an optimized crystal structure of K3PtCl6, as listed in Alexandria via LeMat-Bulk.

Cell: 8.638 8.638 8.638 Å, 90.79 90.79 90.79°
Each line ends with the local moment (μB).
Positions (direct):
1 K 0.433 0.924 0.753  0.00
2 K 0.247 0.567 0.076  0.00
3 K 0.567 0.076 0.247  0.00
4 K 0.753 0.433 0.924  0.00
5 K 0.924 0.753 0.433  0.00
6 K 0.076 0.247 0.567  0.00
7 Cl 0.227 0.548 0.438  0.05
8 Cl 0.735 0.062 0.922  0.05
9 Cl 0.265 0.938 0.078  0.05
10 Cl 0.922 0.735 0.062  0.05
11 Cl 0.062 0.922 0.735  0.05
12 Cl 0.452 0.562 0.773  0.05
13 Cl 0.078 0.265 0.938  0.05
14 Cl 0.938 0.078 0.265  0.05
15 Cl 0.773 0.452 0.562  0.05
16 Cl 0.438 0.227 0.548  0.05
17 Cl 0.562 0.773 0.452  0.05
18 Cl 0.548 0.438 0.227  0.05
19 Pt 0.000 0.000 0.000  0.52
20 Pt 0.500 0.500 0.500  0.59

Calculated values
The value obtained for the formation energy (no corrections) is -1.30 eV/atom. Its density of states at the Fermi level is 0.67 states/eV per atom. For the total magnetization, the calculation gives 0.102 μB/atom. For the total energy, the calculation gives -66.785 eV/cell. Its space-group type is R-3, No. 148.

---

Q: What is the total magnetization in the second record?
A: 0.000 μB/atom